Version P
NbFeI2O | PBE+U | optimized geometry

a = 5.803 Å, b = 5.803 Å, c = 3.913 Å
α = 90.00°, β = 90.00°, γ = 90.00°
Fractional coordinates of all 5 atoms:
I: 0.000 0.500 0.000
I: 0.500 0.000 0.000
Nb: 0.000 0.000 0.000
Fe: 0.500 0.500 0.500
O: 0.000 0.000 0.500

Results
symmetry: P4/mmm (123)
calculated volume: 26.36 A^3/atom
calculated density: 5.27 Mg/m³

Version Q
NbFeI2O | PBE+U | optimized geometry

a = 5.600 Å, b = 5.600 Å, c = 3.661 Å
α = 90.00°, β = 90.00°, γ = 90.00°
Fractional coordinates of all 5 atoms:
I: 0.000 0.500 0.000
I: 0.500 0.000 0.000
Nb: 0.500 0.500 0.500
Fe: 0.000 0.000 0.000
O: 0.000 0.000 0.500

Results
symmetry: P4/mmm (123)
calculated volume: 22.97 A^3/atom
calculated density: 6.05 Mg/m³

Least stable structure: version Q